# NbCoO2

A relaxed NbCoO2 crystal (GGA+U, the Alexandria database).

abc: 2.8535 2.8535 18.6903
angles: 90.00 90.00 120.00
Last column: nearest neighbours and their distance in Å.
Space group R-3m (No. 166, hexagonal axes)
Inequivalent atoms, fractional coordinates:
Nb: 0.0000 0.0000 0.0000  2 O 2.11
Co: 0.0000 0.0000 0.5000  6 O 1.93
O: 0.0000 0.0000 0.1130  3 Co 1.93, 1 Nb 2.11

Summary:
DOS(E_F) = 0.561 states/eV/atom
volume = 131.80 Å³ per cell
offset from the most stable computed form = 482 meV per atom